Record 1
{"formula": "Pm3MgCd", "functional": "PBE", "state": "relaxed", "lattice": [[5.240, 0.000, 1.197], [0.000, 5.369, 0.000], [0.321, 0.000, 10.657]], "species": ["Pm", "Pm", "Pm", "Pm", "Pm", "Pm", "Mg", "Mg", "Cd", "Cd"], "frac_coords": [[0.763, 0.250, 0.123], [0.384, 0.250, 0.881], [0.574, 0.250, 0.500], [0.265, 0.750, 0.119], [0.886, 0.750, 0.877], [0.074, 0.750, 0.500], [0.478, 0.750, 0.692], [0.170, 0.250, 0.308], [0.668, 0.750, 0.312], [0.980, 0.250, 0.688]], "polymorph_energy_ev_per_fu": 0.00}

Record 2
{"formula": "Pm4Mg3Cd", "functional": "PBE", "state": "relaxed", "lattice": [[-0.910, -3.313, -0.389], [2.792, -1.252, 4.123], [-10.297, 1.941, 7.562]], "species": ["Pm", "Pm", "Pm", "Pm", "Mg", "Mg", "Mg", "Cd"], "frac_coords": [[0.500, 0.500, 0.329], [0.000, 0.500, 0.833], [0.000, 0.000, 0.166], [0.500, 0.000, 0.671], [0.000, 0.500, 0.563], [0.000, 0.000, 0.436], [0.500, 0.000, 0.937], [0.500, 0.500, 0.065]], "polymorph_energy_ev_per_fu": 0.40}

Record 3
{"formula": "PmMg3Cd", "functional": "PBE", "state": "relaxed", "lattice": [[4.690, 0.000, 0.000], [0.000, 7.153, 1.640], [0.000, 0.045, 7.634]], "species": ["Pm", "Pm", "Mg", "Mg", "Mg", "Mg", "Mg", "Mg", "Cd", "Cd"], "frac_coords": [[0.381, 0.540, 0.241], [0.881, 0.136, 0.565], [0.881, 0.618, 0.523], [0.381, 0.057, 0.283], [0.881, 0.687, 0.887], [0.881, 0.272, 0.046], [0.381, 0.403, 0.758], [0.381, 0.988, 0.920], [0.381, 0.805, 0.632], [0.881, 0.870, 0.174]], "polymorph_energy_ev_per_fu": 0.09}

Record 4
{"formula": "PmMgCd14", "functional": "PBE", "state": "relaxed", "lattice": [[-5.690, -2.434, -2.224], [0.156, -4.630, 4.667], [-4.294, 5.196, 5.298]], "species": ["Pm", "Mg", "Cd", "Cd", "Cd", "Cd", "Cd", "Cd", "Cd", "Cd", "Cd", "Cd", "Cd", "Cd", "Cd", "Cd"], "frac_coords": [[0.875, 0.875, 0.500], [0.375, 0.375, 0.500], [0.875, 0.875, 0.000], [0.375, 0.375, 0.000], [0.875, 0.375, 0.500], [0.875, 0.375, 0.000], [0.375, 0.875, 0.500], [0.375, 0.875, 0.000], [0.619, 0.131, 0.244], [0.619, 0.131, 0.756], [0.131, 0.619, 0.244], [0.131, 0.619, 0.756], [0.619, 0.619, 0.244], [0.619, 0.619, 0.756], [0.131, 0.131, 0.244], [0.131, 0.131, 0.756]], "final_energy_ev_per_cell": -20.33}

Record 5
{"formula": "PmMg3Cd2", "functional": "PBE", "state": "relaxed", "lattice": [[-1.045, 0.123, 4.842], [0.990, -4.322, -2.211], [13.241, 1.590, 2.819]], "species": ["Pm", "Pm", "Mg", "Mg", "Mg", "Mg", "Mg", "Mg", "Cd", "Cd", "Cd", "Cd"], "frac_coords": [[0.000, 0.000, 0.250], [0.000, 0.000, 0.750], [0.000, 0.000, 0.500], [0.000, 0.000, 0.000], [0.667, 0.333, 0.603], [0.333, 0.667, 0.103], [0.667, 0.333, 0.897], [0.333, 0.667, 0.397], [0.667, 0.333, 0.370], [0.333, 0.667, 0.630], [0.333, 0.667, 0.870], [0.667, 0.333, 0.130]], "polymorph_energy_ev_per_fu": 0.00}

Record 6
{"formula": "Pm2MgCd3", "functional": "PBE", "state": "relaxed", "lattice": [[6.087, 0.000, 0.000], [-3.044, 5.272, 0.000], [0.000, 0.000, 9.487]], "species": ["Pm", "Pm", "Pm", "Pm", "Mg", "Mg", "Cd", "Cd", "Cd", "Cd", "Cd", "Cd"], "frac_coords": [[0.667, 0.333, 0.435], [0.333, 0.667, 0.565], [0.333, 0.667, 0.935], [0.667, 0.333, 0.065], [0.000, 0.000, 0.500], [0.000, 0.000, 0.000], [0.171, 0.342, 0.250], [0.342, 0.171, 0.750], [0.829, 0.658, 0.750], [0.171, 0.829, 0.250], [0.829, 0.171, 0.750], [0.658, 0.829, 0.250]], "polymorph_energy_ev_per_fu": 0.15}

Here are the calculated spin magnetization numbers, same order: 0.06 0.00 0.00 0.00 0.00 0.00 (μB per atom).